# K2Np3AgS8

A relaxed structure of K2Np3AgS8 (PBE, Alexandria).

Computed properties:
The value obtained for the uncorrected formation energy is -1140 meV/atom.

a = 7.9944 Å, b = 7.9944 Å, c = 23.3887 Å
α = 90.00°, β = 90.00°, γ = 120.00°
Space group R3m (No. 160, hexagonal axes)
Symmetry-distinct sites (fractional):
K: 0.0000 0.0000 0.0000 [3 per cell]
K: 0.0000 0.0000 0.3593 [3 per cell]
Np: 0.1670 0.3339 0.1941 [9 per cell]
Ag: 0.0000 0.0000 0.8215 [3 per cell]
S: 0.0000 0.0000 0.1337 [3 per cell]
S: 0.0000 0.0000 0.5869 [3 per cell]
S: 0.0260 0.5130 0.1313 [9 per cell]
S: 0.1810 0.3619 0.9215 [9 per cell]

=====

# RbNp2Br6

A relaxed structure of RbNp2Br6 (PBE, Alexandria).

Computed properties:
The value obtained for the uncorrected formation energy is -1360 meV/atom.

a = 7.5926 Å, b = 7.5926 Å, c = 7.5803 Å
α = 90.00°, β = 90.00°, γ = 120.00°
Space group P-31m (No. 162)
Symmetry-distinct sites (fractional):
Rb: 0.0000 0.0000 0.0000 [1 per cell]
Np: 0.3333 0.6667 0.5000 [2 per cell]
Br: 0.0000 0.3701 0.7233 [6 per cell]

=====

# Pr2InGePd6

A relaxed structure of Pr2InGePd6 (PBE, Alexandria).

Computed properties:
The calculated formation energy comes out at -0.6245 eV/atom.

a = 11.7472 Å, b = 5.5802 Å, c = 8.0534 Å
α = 90.00°, β = 130.07°, γ = 90.00°
Space group C2/m (No. 12)
Symmetry-distinct sites (fractional):
Pr: 0.0014 0.0000 0.2496 [4 per cell]
In: 0.0000 0.5000 0.5000 [2 per cell]
Ge: 0.0000 0.5000 0.0000 [2 per cell]
Pd: 0.1770 0.5000 0.9295 [4 per cell]
Pd: 0.2403 0.2535 0.2893 [8 per cell]

=====

# BaZn3As

A relaxed structure of BaZn3As (PBE, Alexandria).

Computed properties:
The calculated formation energy comes out at 0.0503 eV/atom. Its relative energy among the computed polymorphs is 0 meV per atom.

a = 5.1403 Å, b = 5.1403 Å, c = 5.1403 Å
α = 90.00°, β = 90.00°, γ = 90.00°
Space group Pm-3m (No. 221)
Symmetry-distinct sites (fractional):
Ba: 0.0000 0.0000 0.0000 [1 per cell]
Zn: 0.0000 0.5000 0.5000 [3 per cell]
As: 0.5000 0.5000 0.5000 [1 per cell]

=====

# Er2ReBiO8

A relaxed structure of Er2ReBiO8 (PBE, Alexandria).

Computed properties:
The value obtained for the uncorrected formation energy is -2325 meV/atom.

a = 7.0915 Å, b = 7.1360 Å, c = 6.8177 Å
α = 90.00°, β = 90.00°, γ = 90.00°
Space group Cmmm (No. 65)
Symmetry-distinct sites (fractional):
Er: 0.0000 0.0000 0.2495 [4 per cell]
Re: 0.0000 0.5000 0.5000 [2 per cell]
Bi: 0.0000 0.5000 0.0000 [2 per cell]
O: 0.0000 0.3154 0.2957 [8 per cell]
O: 0.1855 0.0000 0.0000 [4 per cell]
O: 0.2311 0.0000 0.5000 [4 per cell]

=====

# RbTlCu

A relaxed structure of RbTlCu (PBE, Alexandria).

Computed properties:
The calculated formation energy comes out at 0.2585 eV/atom.

a = 6.7022 Å, b = 6.5602 Å, c = 9.4674 Å
α = 90.00°, β = 99.56°, γ = 90.00°
Space group C2/m (No. 12)
Symmetry-distinct sites (fractional):
Rb: 0.1288 0.0000 0.1931 [4 per cell]
Tl: 0.1984 0.5000 0.4130 [4 per cell]
Cu: 0.0990 0.5000 0.1178 [4 per cell]

=====

# HOsF3

A relaxed structure of HOsF3 (PBE, Alexandria).

Computed properties:
Its relative energy among the computed polymorphs is 0 meV per atom.

a = 4.0585 Å, b = 4.0585 Å, c = 4.0585 Å
α = 90.00°, β = 90.00°, γ = 90.00°
Space group Pm-3m (No. 221)
Symmetry-distinct sites (fractional):
H: 0.0000 0.0000 0.0000 [1 per cell]
Os: 0.5000 0.5000 0.5000 [1 per cell]
F: 0.0000 0.5000 0.5000 [3 per cell]

=====

# TaInTcOs

A relaxed structure of TaInTcOs (PBE, Alexandria).

Computed properties:
The calculated formation energy comes out at -0.0511 eV/atom.

a = 6.4226 Å, b = 6.4226 Å, c = 6.4226 Å
α = 90.00°, β = 90.00°, γ = 90.00°
Space group F-43m (No. 216)
Symmetry-distinct sites (fractional):
Ta: 0.0000 0.0000 0.0000 [4 per cell]
In: 0.0000 0.0000 0.5000 [4 per cell]
Tc: 0.2500 0.2500 0.2500 [4 per cell]
Os: 0.2500 0.2500 0.7500 [4 per cell]

=====

# YHoEr2

A relaxed structure of YHoEr2 (PBE, Alexandria).

Computed properties:
The calculated formation energy comes out at 0.0257 eV/atom. Its relative energy among the computed polymorphs is 21 meV per atom.

a = 4.9909 Å, b = 4.9909 Å, c = 4.9886 Å
α = 90.00°, β = 90.00°, γ = 90.00°
Space group P4/mmm (No. 123)
Symmetry-distinct sites (fractional):
Y: 0.0000 0.0000 0.0000 [1 per cell]
Ho: 0.5000 0.5000 0.0000 [1 per cell]
Er: 0.0000 0.5000 0.5000 [2 per cell]

=====

# PdIBrO2

A relaxed structure of PdIBrO2 (PBE, Alexandria).

Computed properties:
The value obtained for the uncorrected formation energy is 299 meV/atom. Its relative energy among the computed polymorphs is 0 meV per atom.

a = 4.0106 Å, b = 4.0106 Å, c = 7.6389 Å
α = 90.00°, β = 90.00°, γ = 90.00°
Space group P4/mmm (No. 123)
Symmetry-distinct sites (fractional):
Pd: 0.0000 0.0000 0.0000 [1 per cell]
I: 0.0000 0.0000 0.5000 [1 per cell]
Br: 0.5000 0.5000 0.5000 [1 per cell]
O: 0.0000 0.5000 0.0000 [2 per cell]

=====

# Tb3Pr4Dy

A relaxed structure of Tb3Pr4Dy (PBE, Alexandria).

Computed properties:
The calculated formation energy comes out at 0.0314 eV/atom. Its relative energy among the computed polymorphs is 0 meV per atom.

a = 11.7371 Å, b = 7.3656 Å, c = 6.3451 Å
α = 90.00°, β = 90.00°, γ = 90.00°
Space group Pmn2_1 (No. 31)
Symmetry-distinct sites (fractional):
Tb: 0.0000 0.1210 0.0000 [2 per cell]
Tb: 0.2499 0.1209 0.3323 [4 per cell]
Pr: 0.0000 0.3722 0.4980 [2 per cell]
Pr: 0.0000 0.6284 0.9973 [2 per cell]
Pr: 0.2503 0.3714 0.8349 [4 per cell]
Dy: 0.0000 0.8794 0.5000 [2 per cell]

=====

# Zr2TlIn

A relaxed structure of Zr2TlIn (PBE, Alexandria).

Computed properties:
The calculated formation energy comes out at -0.1925 eV/atom. Its relative energy among the computed polymorphs is 1 meV per atom.

a = 6.3677 Å, b = 8.8767 Å, c = 3.1883 Å
α = 90.00°, β = 90.00°, γ = 90.00°
Space group Cmmm (No. 65)
Symmetry-distinct sites (fractional):
Zr: 0.2500 0.2500 0.0000 [4 per cell]
Tl: 0.0000 0.0000 0.5000 [2 per cell]
In: 0.0000 0.5000 0.5000 [2 per cell]

=====

# KPd2O3

A relaxed structure of KPd2O3 (PBE, Alexandria).

Computed properties:
The value obtained for the uncorrected formation energy is -755 meV/atom.

a = 6.2252 Å, b = 6.2252 Å, c = 5.9042 Å
α = 90.00°, β = 90.00°, γ = 120.00°
Space group P-3m1 (No. 164)
Symmetry-distinct sites (fractional):
K: 0.3333 0.6667 0.0157 [2 per cell]
Pd: 0.0000 0.0000 0.5000 [1 per cell]
Pd: 0.0000 0.5000 0.5000 [3 per cell]
O: 0.1681 0.3363 0.6703 [6 per cell]

=====

# Nd13Ho2

A relaxed structure of Nd13Ho2 (PBE, Alexandria).

Computed properties:
The calculated formation energy comes out at 0.1399 eV/atom. Its relative energy among the computed polymorphs is 84 meV per atom.

a = 7.2220 Å, b = 7.2220 Å, c = 35.4057 Å
α = 90.00°, β = 90.00°, γ = 120.00°
Space group R-3m (No. 166, hexagonal axes)
Symmetry-distinct sites (fractional):
Nd: 0.0000 0.0000 0.0000 [3 per cell]
Nd: 0.0027 0.5013 0.9548 [18 per cell]
Nd: 0.0030 0.5015 0.7904 [18 per cell]
Ho: 0.0000 0.0000 0.2062 [6 per cell]

=====

# Tb3Pr3Y8

A relaxed structure of Tb3Pr3Y8 (PBE, Alexandria).

Computed properties:
The calculated formation energy comes out at 0.1091 eV/atom. Its relative energy among the computed polymorphs is 0 meV per atom.

a = 5.7207 Å, b = 10.8351 Å, c = 15.2266 Å
α = 90.00°, β = 90.00°, γ = 90.00°
Space group Immm (No. 71)
Symmetry-distinct sites (fractional):
Tb: 0.0000 0.0000 0.0000 [2 per cell]
Tb: 0.0000 0.2979 0.0000 [4 per cell]
Pr: 0.0000 0.0000 0.5000 [2 per cell]
Pr: 0.0000 0.5000 0.1834 [4 per cell]
Y: 0.0000 0.1606 0.2196 [8 per cell]
Y: 0.0000 0.3409 0.3978 [8 per cell]

=====

# La2TbSn9

A relaxed structure of La2TbSn9 (PBE, Alexandria).

Computed properties:
The calculated formation energy comes out at -0.5322 eV/atom.

a = 4.8080 Å, b = 4.8080 Å, c = 14.1548 Å
α = 90.00°, β = 90.00°, γ = 90.00°
Space group P4/mmm (No. 123)
Symmetry-distinct sites (fractional):
La: 0.0000 0.0000 0.1691 [2 per cell]
Tb: 0.0000 0.0000 0.5000 [1 per cell]
Sn: 0.0000 0.5000 0.0000 [2 per cell]
Sn: 0.0000 0.5000 0.3386 [4 per cell]
Sn: 0.5000 0.5000 0.1692 [2 per cell]
Sn: 0.5000 0.5000 0.5000 [1 per cell]

=====

# SrCrCo2

A relaxed structure of SrCrCo2 (PBE, Alexandria).

Computed properties:
The calculated formation energy comes out at 0.9771 eV/atom. Its relative energy among the computed polymorphs is 657 meV per atom.

a = 4.6303 Å, b = 4.6303 Å, c = 6.5266 Å
α = 90.00°, β = 90.00°, γ = 90.00°
Space group I-4m2 (No. 119)
Symmetry-distinct sites (fractional):
Sr: 0.0000 0.0000 0.0000 [2 per cell]
Cr: 0.0000 0.5000 0.7500 [2 per cell]
Co: 0.0000 0.0000 0.5000 [2 per cell]
Co: 0.0000 0.5000 0.2500 [2 per cell]

=====

# Na2CoIr

A relaxed structure of Na2CoIr (PBE, Alexandria).

Computed properties:
The calculated formation energy comes out at 0.9748 eV/atom. Its relative energy among the computed polymorphs is 0 meV per atom.

a = 7.9090 Å, b = 7.9090 Å, c = 4.8948 Å
α = 90.00°, β = 90.00°, γ = 90.00°
Space group I-42d (No. 122)
Symmetry-distinct sites (fractional):
Na: 0.2404 0.7500 0.1250 [8 per cell]
Co: 0.0000 0.0000 0.0000 [4 per cell]
Ir: 0.0000 0.0000 0.5000 [4 per cell]

=====

# SmU2Se5

A relaxed structure of SmU2Se5 (PBE, Alexandria).

Computed properties:
The value obtained for the uncorrected formation energy is -1318 meV/atom. Its relative energy among the computed polymorphs is 21 meV per atom.

a = 7.4071 Å, b = 7.4071 Å, c = 13.6269 Å
α = 90.00°, β = 90.00°, γ = 90.00°
Space group I4/mcm (No. 140)
Symmetry-distinct sites (fractional):
Sm: 0.0000 0.0000 0.2500 [4 per cell]
U: 0.1167 0.3833 0.0000 [8 per cell]
Se: 0.0000 0.0000 0.0000 [4 per cell]
Se: 0.1712 0.3288 0.3543 [16 per cell]

=====

# Ag8Hg2Sb

A relaxed structure of Ag8Hg2Sb (PBE, Alexandria).

Computed properties:
The value obtained for the uncorrected formation energy is 159 meV/atom.

a = 13.3764 Å, b = 7.2659 Å, c = 5.1204 Å
α = 90.00°, β = 104.71°, γ = 90.00°
Space group C2/m (No. 12)
Symmetry-distinct sites (fractional):
Ag: 0.0682 0.1896 0.2817 [8 per cell]
Ag: 0.1298 0.0000 0.8322 [4 per cell]
Ag: 0.2404 0.5000 0.5772 [4 per cell]
Hg: 0.1513 0.5000 0.0238 [4 per cell]
Sb: 0.0000 0.5000 0.5000 [2 per cell]